No. 1
# SN, relaxed, DFT PBE-GGA
data_SN
_cell_length_a 3.580
_cell_length_b 4.308
_cell_length_c 8.390
_cell_angle_alpha 93.44
_cell_angle_beta 91.01
_cell_angle_gamma 113.75
_symmetry_space_group_name_H-M 'P 1'
_symmetry_Int_Tables_number 1
loop_
_symmetry_equiv_pos_as_xyz
'x,y,z'
loop_
_atom_site_label
_atom_site_type_symbol
_atom_site_fract_x
_atom_site_fract_y
_atom_site_fract_z
S1 S 0.481 0.189 0.568
S2 S 0.011 0.180 0.433
N1 N 0.318 0.805 0.041
N2 N 0.176 0.571 0.960
# Space-group type: P1, No. 1
# Total moment in μB per cell: 0.000
# ΔE_f (raw) in eV per atom: 0.18

=====

No. 2
# Tb2Er6Tm3, relaxed, DFT PBE-GGA
data_Tb2Er6Tm3
_cell_length_a 3.508
_cell_length_b 3.508
_cell_length_c 31.435
_cell_angle_alpha 86.80
_cell_angle_beta 86.80
_cell_angle_gamma 60.00
_symmetry_space_group_name_H-M 'P 1'
_symmetry_Int_Tables_number 1
loop_
_symmetry_equiv_pos_as_xyz
'x,y,z'
loop_
_atom_site_label
_atom_site_type_symbol
_atom_site_fract_x
_atom_site_fract_y
_atom_site_fract_z
Tb1 Tb 0.546 0.546 0.363
Tb2 Tb 0.454 0.454 0.637
Tm1 Tm 0.000 0.000 0.000
Tm2 Tm 0.727 0.727 0.819
Tm3 Tm 0.273 0.273 0.181
Er1 Er 0.090 0.090 0.729
Er2 Er 0.637 0.637 0.090
Er3 Er 0.910 0.910 0.271
Er4 Er 0.363 0.363 0.910
Er5 Er 0.818 0.818 0.545
Er6 Er 0.182 0.182 0.455
# Space-group type: R-3m, No. 166
# ΔE_f in eV per atom: 0.024
# Total moment in μB per cell: 0.000

=====

No. 3
# SmPaIrPt, relaxed, DFT PBE-GGA
data_SmPaIrPt
_cell_length_a 4.963
_cell_length_b 4.963
_cell_length_c 4.963
_cell_angle_alpha 60.00
_cell_angle_beta 60.00
_cell_angle_gamma 60.00
_symmetry_space_group_name_H-M 'P 1'
_symmetry_Int_Tables_number 1
loop_
_symmetry_equiv_pos_as_xyz
'x,y,z'
loop_
_atom_site_label
_atom_site_type_symbol
_atom_site_fract_x
_atom_site_fract_y
_atom_site_fract_z
Sm1 Sm 0.000 0.000 0.000
Pt1 Pt 0.750 0.750 0.750
Pa1 Pa 0.500 0.500 0.500
Ir1 Ir 0.250 0.250 0.250
# Space-group type: F-43m, No. 216
# ΔE_f in eV per atom: -0.737
# Total moment in μB per cell: 0.361

=====

Calculated Fermi-level density of states (states/eV/f.u.), listed in the same order as above: 0.5; 15.8; 7.0
Calculated DFT total energy (eV per cell), listed in the same order as above: -24.19; -49.79; -32.06